ScTaCu2: single point on PBEsol structure, SCAN.

## Properties
- N(E_F): 3.1 states/eV/f.u.
- Distance to the lowest polymorph of the same formula: 0 meV per atom
- Uncorrected energy: -111.030 eV/cell
- Size of the total moment: 0.0 μB/f.u.
- SG: No. 8

Lattice parameters (Å, degrees): 2.778 4.691 5.156 108.77 105.63 90.00
Atoms (fractional coordinates):
Cu  0.021  0.964  0.042
Cu  0.725  0.280  0.450
Sc  0.487  0.449  0.974
Ta  0.267  0.808  0.533